Entry 1:
Ba2Hg6Pb | PBE-GGA | optimized geometry

As for the final energy: -25.71 eV for the cell shown. The volume is 552.9 Å³ per cell.

The space group is C2/m (No. 12) and the conventional cell measures 12.0816, 6.9730 and 6.5628 Å, with angles of 90.00, 90.00 and 90.00 degrees. The asymmetric unit holds Ba at (0.1669, 0.0000, 0.3259), Hg at (0.0911, 0.2271, 0.8376), Hg at (0.1832, 0.5000, 0.1635) and Pb at (0.0000, 0.5000, 0.5000).

---

Entry 2:
Au6SeS | PBE-GGA | optimized geometry

As for the final energy: -97.67 eV for the cell shown. The volume is 722.2 Å³ per cell.

The space group is F-43m (No. 216) and the conventional cell measures 8.9719, 8.9719 and 8.9719 Å, with angles of 90.00, 90.00 and 90.00 degrees. The asymmetric unit holds Au at (0.0000, 0.0000, 0.2229), Se at (0.2500, 0.2500, 0.7500) and S at (0.0000, 0.0000, 0.5000).

---

Entry 3:
MgReNiB | PBE-GGA | optimized geometry

As for the final energy: -98.12 eV for the cell shown. The volume is 191.4 Å³ per cell.

The space group is F-43m (No. 216) and the conventional cell measures 5.7631, 5.7631 and 5.7631 Å, with angles of 90.00, 90.00 and 90.00 degrees. The asymmetric unit holds Mg at (0.0000, 0.0000, 0.0000), Re at (0.0000, 0.0000, 0.5000), Ni at (0.2500, 0.2500, 0.7500) and B at (0.2500, 0.2500, 0.2500).

---

Entry 4:
NbHBrCl | PBE-GGA | optimized geometry

As for the final energy: -37.21 eV for the cell shown. The volume is 142.3 Å³ per cell.

The space group is P-6m2 (No. 187) and the conventional cell measures 3.3585, 3.3585 and 14.5724 Å, with angles of 90.00, 90.00 and 120.00 degrees. The asymmetric unit holds Nb at (0.0000, 0.0000, 0.0000), Nb at (0.0000, 0.0000, 0.5000), H at (0.3333, 0.6667, 0.0000), H at (0.6667, 0.3333, 0.5000), Br at (0.3333, 0.6667, 0.3610) and Cl at (0.6667, 0.3333, 0.1290).

---

Entry 5:
SrTaPb | PBE-GGA | optimized geometry

As for the final energy: -50.93 eV for the cell shown. The volume is 410.4 Å³ per cell.

The space group is F-43m (No. 216) and the conventional cell measures 7.4311, 7.4311 and 7.4311 Å, with angles of 90.00, 90.00 and 90.00 degrees. The asymmetric unit holds Sr at (0.0000, 0.0000, 0.0000), Ta at (0.2500, 0.2500, 0.2500) and Pb at (0.2500, 0.2500, 0.7500).

---

Entry 6:
DyTa2O4 | PBE-GGA | optimized geometry

As for the final energy: -501.82 eV for the cell shown. The volume is 740.6 Å³ per cell.

The space group is Fd-3m (No. 227, origin choice 2) and the conventional cell measures 9.0474, 9.0474 and 9.0474 Å, with angles of 90.00, 90.00 and 90.00 degrees. The asymmetric unit holds Dy at (0.1250, 0.1250, 0.1250), Ta at (0.0000, 0.0000, 0.5000) and O at (0.0093, 0.0093, 0.7407).

---

Q: What is the formula in the fourth record?
A: NbHBrCl

---

Q: Number 5 is which compound?
A: SrTaPb